No. 1
This record from Alexandria via LeMat-Bulk describes a geometry-optimized Tb2CeBi3 structure. The functional is PBE-GGA.

CIF file:
```
data_Tb2CeBi3
_chemical_formula_sum 'Tb2 Ce1 Bi3'
_cell_length_a 4.523
_cell_length_b 6.405
_cell_length_c 7.845
_cell_angle_alpha 114.09
_cell_angle_beta 106.75
_cell_angle_gamma 90.00
_space_group_name_H-M_alt 'P 1'
_space_group_IT_number 1
loop_
_space_group_symop_operation_xyz
'x,y,z'
loop_
_atom_site_label
_atom_site_type_symbol
_atom_site_fract_x
_atom_site_fract_y
_atom_site_fract_z
_atom_site_occupancy
Tb1 Tb 0.834 0.834 0.168 1
Tb2 Tb 0.166 0.166 0.832 1
Ce1 Ce 0.500 0.500 0.500 1
Bi1 Bi 0.831 0.331 0.161 1
Bi2 Bi 0.169 0.669 0.839 1
Bi3 Bi 0.500 0.000 0.500 1
```

Properties
The value obtained for the total DFT energy (no corrections) is -5.322 eV per atom. The energy of formation is -0.85 eV/atom. The volume comes out at 32.81 A^3/atom.

=====

No. 2
This record from Alexandria via LeMat-Bulk describes a geometry-optimized Tb8CeBi6 structure. The functional is PBE-GGA.

CIF file:
```
data_Tb8CeBi6
_chemical_formula_sum 'Tb8 Ce1 Bi6'
_cell_length_a 8.254
_cell_length_b 8.254
_cell_length_c 9.711
_cell_angle_alpha 64.85
_cell_angle_beta 64.85
_cell_angle_gamma 60.00
_space_group_name_H-M_alt 'P 1'
_space_group_IT_number 1
loop_
_space_group_symop_operation_xyz
'x,y,z'
loop_
_atom_site_label
_atom_site_type_symbol
_atom_site_fract_x
_atom_site_fract_y
_atom_site_fract_z
_atom_site_occupancy
Tb1 Tb 0.553 0.205 0.368 1
Tb2 Tb 0.795 0.126 0.632 1
Tb3 Tb 0.126 0.447 0.632 1
Tb4 Tb 0.666 0.666 0.001 1
Tb5 Tb 0.334 0.334 0.999 1
Tb6 Tb 0.874 0.553 0.368 1
Tb7 Tb 0.205 0.874 0.368 1
Tb8 Tb 0.447 0.795 0.632 1
Ce1 Ce 0.000 0.000 0.000 1
Bi1 Bi 0.410 0.066 0.796 1
Bi2 Bi 0.934 0.272 0.204 1
Bi3 Bi 0.272 0.590 0.204 1
Bi4 Bi 0.728 0.410 0.796 1
Bi5 Bi 0.066 0.728 0.796 1
Bi6 Bi 0.590 0.934 0.204 1
```

Properties
The value obtained for the total DFT energy (no corrections) is -4.927 eV per atom. The energy of formation is -0.51 eV/atom. The volume comes out at 33.29 A^3/atom.

=====

No. 3
This record from Alexandria via LeMat-Bulk describes a geometry-optimized TbCe2ThBi4 structure. The functional is PBE-GGA.

CIF file:
```
data_TbCe2ThBi4
_chemical_formula_sum 'Tb1 Ce2 Th1 Bi4'
_cell_length_a 4.571
_cell_length_b 7.970
_cell_length_c 7.897
_cell_angle_alpha 70.64
_cell_angle_beta 90.00
_cell_angle_gamma 90.00
_space_group_name_H-M_alt 'P 1'
_space_group_IT_number 1
loop_
_space_group_symop_operation_xyz
'x,y,z'
loop_
_atom_site_label
_atom_site_type_symbol
_atom_site_fract_x
_atom_site_fract_y
_atom_site_fract_z
_atom_site_occupancy
Tb1 Tb 0.500 0.500 0.000 1
Ce1 Ce 0.000 0.000 0.000 1
Ce2 Ce 0.500 0.000 0.500 1
Th1 Th 0.000 0.500 0.500 1
Bi1 Bi 0.000 0.746 0.755 1
Bi2 Bi 0.000 0.254 0.245 1
Bi3 Bi 0.500 0.748 0.247 1
Bi4 Bi 0.500 0.252 0.753 1
```

Properties
The value obtained for the total DFT energy (no corrections) is -5.700 eV per atom. The energy of formation is -0.77 eV/atom. The volume comes out at 33.93 A^3/atom.

=====

No. 4
This record from Alexandria via LeMat-Bulk describes a geometry-optimized Tb2CeThBi5 structure. The functional is PBE-GGA.

CIF file:
```
data_Tb2CeThBi5
_chemical_formula_sum 'Tb2 Ce1 Th1 Bi5'
_cell_length_a 5.717
_cell_length_b 5.717
_cell_length_c 12.080
_cell_angle_alpha 90.00
_cell_angle_beta 90.00
_cell_angle_gamma 90.00
_space_group_name_H-M_alt 'P 1'
_space_group_IT_number 1
loop_
_space_group_symop_operation_xyz
'x,y,z'
loop_
_atom_site_label
_atom_site_type_symbol
_atom_site_fract_x
_atom_site_fract_y
_atom_site_fract_z
_atom_site_occupancy
Tb1 Tb 0.500 0.500 0.268 1
Tb2 Tb 0.500 0.500 0.732 1
Ce1 Ce 0.000 0.000 0.000 1
Th1 Th 0.000 0.000 0.500 1
Bi1 Bi 0.000 0.500 0.500 1
Bi2 Bi 0.500 0.000 0.500 1
Bi3 Bi 0.000 0.000 0.756 1
Bi4 Bi 0.000 0.000 0.244 1
Bi5 Bi 0.500 0.500 0.000 1
```

Properties
The value obtained for the total DFT energy (no corrections) is -4.486 eV per atom. The energy of formation is 0.18 eV/atom. The volume comes out at 43.86 A^3/atom.